# 1
A plane-wave DFT calculation with GGA-PBEsol was carried out for an optimized crystal structure of KPb2Se.

```
data_KPb2Se
_chemical_formula_sum 'K1 Pb2 Se1'
_cell_length_a 4.045
_cell_length_b 4.045
_cell_length_c 7.548
_cell_angle_alpha 90.00
_cell_angle_beta 90.00
_cell_angle_gamma 90.00
_space_group_name_H-M_alt 'P 4/m m m'
_space_group_IT_number 123
_space_group_name_Hall '-P 4 2'
loop_
_atom_site_label
_atom_site_type_symbol
_atom_site_fract_x
_atom_site_fract_y
_atom_site_fract_z
K1 K 0.000 0.000 0.000
Pb1 Pb 0.500 0.500 0.310
Se1 Se 0.000 0.000 0.500
```

Mass density ... 7.159 g cm⁻³
Total energy ... -3.412 eV/atom
E_form (uncorrected) ... -0.1665 eV/atom
M_tot ... 0.00 μB/f.u.


# 2
A plane-wave DFT calculation with GGA-PBEsol was carried out for an optimized crystal structure of Ba8Li.

```
data_Ba8Li
_chemical_formula_sum 'Ba16 Li2'
_cell_length_a 12.466
_cell_length_b 12.466
_cell_length_c 6.394
_cell_angle_alpha 90.00
_cell_angle_beta 90.00
_cell_angle_gamma 90.00
_space_group_name_H-M_alt 'I 4/m m m'
_space_group_IT_number 139
_space_group_name_Hall '-I 4 2'
loop_
_atom_site_label
_atom_site_type_symbol
_atom_site_fract_x
_atom_site_fract_y
_atom_site_fract_z
Ba1 Ba 0.000 0.322 0.000
Ba2 Ba 0.161 0.161 0.500
Li1 Li 0.000 0.000 0.000
```

Mass density ... 3.695 g cm⁻³
Total energy ... -2.071 eV/atom
Energy of formation ... 0.058 eV/atom
M_tot ... 0.00 μB/f.u.


# 3
A plane-wave DFT calculation with GGA-PBEsol was carried out for an optimized crystal structure of Zr4AlCd.

```
data_Zr4AlCd
_chemical_formula_sum 'Zr16 Al4 Cd4'
_cell_length_a 7.973
_cell_length_b 7.973
_cell_length_c 7.973
_cell_angle_alpha 90.00
_cell_angle_beta 90.00
_cell_angle_gamma 90.00
_space_group_name_H-M_alt 'F -4 3 m'
_space_group_IT_number 216
_space_group_name_Hall 'F -4 2 3'
loop_
_atom_site_label
_atom_site_type_symbol
_atom_site_fract_x
_atom_site_fract_y
_atom_site_fract_z
Zr1 Zr 0.124 0.124 0.124
Al1 Al 0.250 0.250 0.750
Cd1 Cd 0.000 0.000 0.500
```

Mass density ... 6.609 g cm⁻³
Total energy ... -6.709 eV/atom
Energy of formation ... 0.232 eV/atom
M_tot ... 0.00 μB/f.u.


# 4
A plane-wave DFT calculation with GGA-PBEsol was carried out for an optimized crystal structure of AsOsSe4.

```
data_AsOsSe4
_chemical_formula_sum 'As4 Os4 Se16'
_cell_length_a 7.668
_cell_length_b 7.668
_cell_length_c 7.668
_cell_angle_alpha 90.00
_cell_angle_beta 90.00
_cell_angle_gamma 90.00
_space_group_name_H-M_alt 'F -4 3 m'
_space_group_IT_number 216
_space_group_name_Hall 'F -4 2 3'
loop_
_atom_site_label
_atom_site_type_symbol
_atom_site_fract_x
_atom_site_fract_y
_atom_site_fract_z
As1 As 0.000 0.000 0.000
Os1 Os 0.250 0.250 0.250
Se1 Se 0.124 0.124 0.624
```

Mass density ... 8.560 g cm⁻³
Total energy ... -4.078 eV/atom
E_form (uncorrected) ... 1.3762 eV/atom
M_tot ... 1.01 μB/f.u.


# 5
A plane-wave DFT calculation with GGA-PBEsol was carried out for an optimized crystal structure of SnTe5Pb4.

```
data_SnTe5Pb4
_chemical_formula_sum 'Sn3 Te15 Pb12'
_cell_length_a 4.5239
_cell_length_b 4.5239
_cell_length_c 55.4685
_cell_angle_alpha 90.00
_cell_angle_beta 90.00
_cell_angle_gamma 120.00
_space_group_name_H-M_alt 'R -3 m'
_space_group_IT_number 166
_space_group_name_Hall '-R 3 2"'
loop_
_atom_site_label
_atom_site_type_symbol
_atom_site_fract_x
_atom_site_fract_y
_atom_site_fract_z
Sn1 Sn 0.0000 0.0000 0.0000
Te1 Te 0.0000 0.0000 0.0993
Te2 Te 0.0000 0.0000 0.3016
Te3 Te 0.0000 0.0000 0.5000
Pb1 Pb 0.0000 0.0000 0.2003
Pb2 Pb 0.0000 0.0000 0.3989
```

Mass density ... 8.034 g cm⁻³
Total energy ... -4.136 eV/atom
E_form (uncorrected) ... -0.3472 eV/atom
M_tot ... 0.00 μB/f.u.


# 6
A plane-wave DFT calculation with GGA-PBEsol was carried out for an optimized crystal structure of AlTlCrBi2.

```
data_AlTlCrBi2
_chemical_formula_sum 'Al1 Tl1 Cr1 Bi2'
_cell_length_a 5.782
_cell_length_b 5.782
_cell_length_c 5.050
_cell_angle_alpha 90.00
_cell_angle_beta 90.00
_cell_angle_gamma 90.00
_space_group_name_H-M_alt 'P 4/m m m'
_space_group_IT_number 123
_space_group_name_Hall '-P 4 2'
loop_
_atom_site_label
_atom_site_type_symbol
_atom_site_fract_x
_atom_site_fract_y
_atom_site_fract_z
Al1 Al 0.000 0.000 0.000
Tl1 Tl 0.000 0.000 0.500
Cr1 Cr 0.500 0.500 0.000
Bi1 Bi 0.000 0.500 0.500
```

Mass density ... 6.896 g cm⁻³
Total energy ... -3.862 eV/atom
Energy of formation ... 1.245 eV/atom
M_tot ... 4.40 μB/f.u.


# 7
A plane-wave DFT calculation with GGA-PBEsol was carried out for an optimized crystal structure of HPd2CI.

```
data_HPd2CI
_chemical_formula_sum 'H1 Pd2 C1 I1'
_cell_length_a 3.957
_cell_length_b 3.957
_cell_length_c 4.157
_cell_angle_alpha 90.00
_cell_angle_beta 90.00
_cell_angle_gamma 90.00
_space_group_name_H-M_alt 'P 4/m m m'
_space_group_IT_number 123
_space_group_name_Hall '-P 4 2'
loop_
_atom_site_label
_atom_site_type_symbol
_atom_site_fract_x
_atom_site_fract_y
_atom_site_fract_z
H1 H 0.000 0.000 0.000
Pd1 Pd 0.000 0.500 0.000
C1 C 0.000 0.000 0.500
I1 I 0.500 0.500 0.500
```

Mass density ... 8.998 g cm⁻³
Total energy ... -4.180 eV/atom
M_tot ... 0.00 μB/f.u.


# 8
A plane-wave DFT calculation with GGA-PBEsol was carried out for an optimized crystal structure of CsCrP2O.

```
data_CsCrP2O
_chemical_formula_sum 'Cs1 Cr1 P2 O1'
_cell_length_a 5.308
_cell_length_b 5.308
_cell_length_c 4.193
_cell_angle_alpha 90.00
_cell_angle_beta 90.00
_cell_angle_gamma 90.00
_space_group_name_H-M_alt 'P 4/m m m'
_space_group_IT_number 123
_space_group_name_Hall '-P 4 2'
loop_
_atom_site_label
_atom_site_type_symbol
_atom_site_fract_x
_atom_site_fract_y
_atom_site_fract_z
Cs1 Cs 0.000 0.000 0.000
Cr1 Cr 0.500 0.500 0.500
P1 P 0.000 0.500 0.000
O1 O 0.000 0.000 0.500
```

Mass density ... 3.695 g cm⁻³
Total energy ... -3.861 eV/atom
E_form (uncorrected) ... 1.7422 eV/atom
M_tot ... 3.22 μB/f.u.


# 9
A plane-wave DFT calculation with GGA-PBEsol was carried out for an optimized crystal structure of PbBr3F.

```
data_PbBr3F
_chemical_formula_sum 'Pb1 Br3 F1'
_cell_length_a 5.529
_cell_length_b 5.529
_cell_length_c 5.529
_cell_angle_alpha 90.00
_cell_angle_beta 90.00
_cell_angle_gamma 90.00
_space_group_name_H-M_alt 'P m -3 m'
_space_group_IT_number 221
_space_group_name_Hall '-P 4 2 3'
loop_
_atom_site_label
_atom_site_type_symbol
_atom_site_fract_x
_atom_site_fract_y
_atom_site_fract_z
Pb1 Pb 0.000 0.000 0.000
Br1 Br 0.000 0.000 0.500
F1 F 0.500 0.500 0.500
```

Mass density ... 4.577 g cm⁻³
Total energy ... -2.472 eV/atom
E_form (uncorrected) ... -0.1650 eV/atom
M_tot ... 0.83 μB/f.u.


# 10
A plane-wave DFT calculation with GGA-PBEsol was carried out for an optimized crystal structure of AuSeClO3.

```
data_AuSeClO3
_chemical_formula_sum 'Au4 Se4 Cl4 O12'
_cell_length_a 4.282
_cell_length_b 9.751
_cell_length_c 10.769
_cell_angle_alpha 82.76
_cell_angle_beta 89.73
_cell_angle_gamma 88.48
_space_group_name_H-M_alt 'P -1'
_space_group_IT_number 2
loop_
_space_group_symop_operation_xyz
'x,y,z'
'-x,-y,-z'
loop_
_atom_site_label
_atom_site_type_symbol
_atom_site_fract_x
_atom_site_fract_y
_atom_site_fract_z
Au1 Au 0.000 0.000 0.000
Au2 Au 0.000 0.000 0.500
Au3 Au 0.013 0.586 0.183
Se1 Se 0.213 0.711 0.904
Se2 Se 0.296 0.130 0.734
Cl1 Cl 0.284 0.195 0.458
Cl2 Cl 0.342 0.490 0.670
O1 O 0.038 0.770 0.243
O2 O 0.079 0.402 0.125
O3 O 0.085 0.997 0.682
O4 O 0.091 0.173 0.071
O5 O 0.339 0.651 0.054
O6 O 0.358 0.042 0.883
```

Mass density ... 5.354 g cm⁻³
Total energy ... -4.723 eV/atom
E_form (uncorrected) ... -0.4677 eV/atom
M_tot ... 0.00 μB/f.u.


# 11
A plane-wave DFT calculation with GGA-PBEsol was carried out for an optimized crystal structure of NdAsRuO.

```
data_NdAsRuO
_chemical_formula_sum 'Nd2 As2 Ru2 O2'
_cell_length_a 4.060
_cell_length_b 4.060
_cell_length_c 8.252
_cell_angle_alpha 90.00
_cell_angle_beta 90.00
_cell_angle_gamma 90.00
_space_group_name_H-M_alt 'P 4/n m m'
_space_group_IT_number 129
loop_
_space_group_symop_operation_xyz
'x,y,z'
'-x,-y,-z'
'-y+1/2,x,z'
'y+1/2,-x,-z'
'-x+1/2,-y+1/2,z'
'x+1/2,y+1/2,-z'
'y,-x+1/2,z'
'-y,x+1/2,-z'
'x+1/2,-y,-z'
'-x+1/2,y,z'
'-y,-x,-z'
'y,x,z'
'-x,y+1/2,-z'
'x,-y+1/2,z'
'y+1/2,x+1/2,-z'
'-y+1/2,-x+1/2,z'
loop_
_atom_site_label
_atom_site_type_symbol
_atom_site_fract_x
_atom_site_fract_y
_atom_site_fract_z
Nd1 Nd 0.250 0.250 0.139
As1 As 0.250 0.250 0.659
Ru1 Ru 0.250 0.750 0.500
O1 O 0.250 0.750 0.000
```

Mass density ... 8.209 g cm⁻³
Total energy ... -8.271 eV/atom
E_form (uncorrected) ... -1.8473 eV/atom
M_tot ... 0.00 μB/f.u.


# 12
A plane-wave DFT calculation with GGA-PBEsol was carried out for an optimized crystal structure of Na14Ni2O9.

```
data_Na14Ni2O9
_chemical_formula_sum 'Na14 Ni2 O9'
_cell_length_a 6.5707
_cell_length_b 6.5707
_cell_length_c 9.2281
_cell_angle_alpha 90.00
_cell_angle_beta 90.00
_cell_angle_gamma 120.00
_space_group_name_H-M_alt 'P -3'
_space_group_IT_number 147
loop_
_space_group_symop_operation_xyz
'x,y,z'
'-x,-y,-z'
'-y,x-y,z'
'y,-x+y,-z'
'-x+y,-x,z'
'x-y,x,-z'
loop_
_atom_site_label
_atom_site_type_symbol
_atom_site_fract_x
_atom_site_fract_y
_atom_site_fract_z
Na1 Na 0.0000 0.0000 0.2492
Na2 Na 0.0331 0.3602 0.5926
Na3 Na 0.0660 0.6875 0.9061
Ni1 Ni 0.3333 0.6667 0.2368
O1 O 0.0000 0.0000 0.5000
O2 O 0.0623 0.6967 0.1637
O3 O 0.3333 0.6667 0.4531
```

Mass density ... 2.807 g cm⁻³
Total energy ... -4.257 eV/atom
E_form (uncorrected) ... -1.0905 eV/atom
M_tot ... 4.04 μB/f.u.